The following is a DFT calculation (PBE) of a relaxed BaTc2Os crystal.

Lattice parameters (Å, degrees): 2.925 2.925 30.609 90.00 90.00 120.00
Element x y z (fractional)
Ba (0.000, 0.000, 0.000)
Ba (0.333, 0.667, 0.667)
Ba (0.667, 0.333, 0.333)
Tc (0.000, 0.000, 0.234)
Tc (0.000, 0.000, 0.766)
Tc (0.333, 0.667, 0.432)
Tc (0.333, 0.667, 0.901)
Tc (0.667, 0.333, 0.099)
Tc (0.667, 0.333, 0.568)
Os (0.000, 0.000, 0.500)
Os (0.333, 0.667, 0.167)
Os (0.667, 0.333, 0.833)

Output
Crystal system: trigonal
E_form (eV/atom): 1.01
DOS(E_F) (states/eV/f.u.): 4.9
Total moment (μB per formula unit): 0.000
Density (g/cm³): 11.500

=====

The following is a DFT calculation (PBE) of a relaxed NaLiSnSe3 crystal.

Lattice parameters (Å, degrees): 7.639 4.022 10.373 90.00 105.50 90.00
Element x y z (fractional)
Na (0.142, 0.250, 0.179)
Na (0.858, 0.750, 0.821)
Li (0.124, 0.750, 0.573)
Li (0.876, 0.250, 0.427)
Sn (0.370, 0.250, 0.824)
Sn (0.630, 0.750, 0.176)
Se (0.021, 0.250, 0.685)
Se (0.289, 0.750, 0.995)
Se (0.467, 0.750, 0.681)
Se (0.533, 0.250, 0.319)
Se (0.711, 0.250, 0.005)
Se (0.979, 0.750, 0.315)

Output
Raw formation energy (eV per atom): -0.78
Crystal system: monoclinic
Total moment (μB per formula unit): 0.000
Density (g/cm³): 4.169

=====

The following is a DFT calculation (PBE) of a relaxed CdRePt2Au crystal.

Lattice parameters (Å, degrees): 5.004 5.004 4.899 90.00 90.00 90.00
Element x y z (fractional)
Cd (0.000, 0.000, 0.000)
Re (0.500, 0.500, 0.000)
Pt (0.000, 0.500, 0.500)
Pt (0.500, 0.000, 0.500)
Au (0.000, 0.000, 0.500)

Output
Crystal system: tetragonal
E_form (eV/atom): 1.80
DOS(E_F) (states/eV/f.u.): 3.8
Total moment (μB per formula unit): 4.103
Density (g/cm³): 11.989

=====

The following is a DFT calculation (PBE) of a relaxed K2ZrNbO6 crystal.

Lattice parameters (Å, degrees): 5.865 5.865 5.865 60.00 60.00 60.00
Element x y z (fractional)
K (0.250, 0.250, 0.250)
K (0.750, 0.750, 0.750)
Zr (0.000, 0.000, 0.000)
Nb (0.500, 0.500, 0.500)
O (0.256, 0.256, 0.744)
O (0.256, 0.744, 0.256)
O (0.256, 0.744, 0.744)
O (0.744, 0.256, 0.256)
O (0.744, 0.256, 0.744)
O (0.744, 0.744, 0.256)

Output
Raw formation energy (eV per atom): -2.43
Crystal system: cubic
DOS(E_F) (states/eV/f.u.): 5.0
Total moment (μB per formula unit): 0.931
Density (g/cm³): 4.171

=====

The following is a DFT calculation (PBE) of a relaxed ZrFeTc2Ni crystal.

Lattice parameters (Å, degrees): 4.347 4.347 4.717 90.00 90.00 90.00
Element x y z (fractional)
Zr (0.000, 0.000, 0.000)
Fe (0.000, 0.000, 0.500)
Tc (0.000, 0.500, 0.500)
Tc (0.500, 0.000, 0.500)
Ni (0.500, 0.500, 0.000)

Output
Crystal system: tetragonal
E_form (eV/atom): 0.95
DOS(E_F) (states/eV/f.u.): 6.8
Total moment (μB per formula unit): 0.000
Density (g/cm³): 7.484

=====

The following is a DFT calculation (PBE) of a relaxed MnGaN2 crystal.

Lattice parameters (Å, degrees): 5.305 2.928 5.567 90.00 90.00 90.00
Element x y z (fractional)
Mn (0.000, 0.000, 0.000)
Mn (0.500, 0.000, 0.000)
Ga (0.250, 0.000, 0.412)
Ga (0.750, 0.000, 0.588)
N (0.250, 0.000, 0.743)
N (0.250, 0.500, 0.170)
N (0.750, 0.000, 0.257)
N (0.750, 0.500, 0.830)

Output
Raw formation energy (eV per atom): 0.33
Crystal system: orthorhombic
DOS(E_F) (states/eV/f.u.): 1.8
Total moment (μB per formula unit): 2.801
Density (g/cm³): 5.863

=====

The following is a DFT calculation (PBE) of a relaxed Pm15Ho4Th crystal.

Lattice parameters (Å, degrees): 5.130 5.130 25.596 90.00 90.00 90.00
Element x y z (fractional)
Pm (0.000, 0.000, 0.000)
Pm (0.000, 0.000, 0.202)
Pm (0.000, 0.000, 0.400)
Pm (0.000, 0.000, 0.600)
Pm (0.000, 0.000, 0.798)
Pm (0.000, 0.500, 0.099)
Pm (0.000, 0.500, 0.300)
Pm (0.000, 0.500, 0.500)
Pm (0.000, 0.500, 0.700)
Pm (0.000, 0.500, 0.901)
Pm (0.500, 0.000, 0.099)
Pm (0.500, 0.000, 0.300)
Pm (0.500, 0.000, 0.500)
Pm (0.500, 0.000, 0.700)
Pm (0.500, 0.000, 0.901)
Ho (0.500, 0.500, 0.200)
Ho (0.500, 0.500, 0.400)
Ho (0.500, 0.500, 0.600)
Ho (0.500, 0.500, 0.800)
Th (0.500, 0.500, 0.000)

Output
Crystal system: tetragonal
E_form (eV/atom): 0.02
DOS(E_F) (states/eV/f.u.): 28.4
Total moment (μB per formula unit): 0.000
Density (g/cm³): 7.561

=====

The following is a DFT calculation (PBE) of a relaxed Pr6Er3Tm2 crystal.

Lattice parameters (Å, degrees): 17.419 17.419 17.419 164.33 164.33 22.23
Element x y z (fractional)
Pr (0.119, 0.619, 0.500)
Pr (0.208, 0.208, 0.000)
Pr (0.381, 0.881, 0.500)
Pr (0.619, 0.119, 0.500)
Pr (0.792, 0.792, 0.000)
Pr (0.881, 0.381, 0.500)
Er (0.308, 0.308, 0.000)
Er (0.500, 0.500, 0.000)
Er (0.692, 0.692, 0.000)
Tm (0.045, 0.045, 0.000)
Tm (0.955, 0.955, 0.000)

Output
Crystal system: tetragonal
E_form (eV/atom): 0.31
DOS(E_F) (states/eV/f.u.): 16.4
Total moment (μB per formula unit): 0.000
Density (g/cm³): 7.256

=====

The following is a DFT calculation (PBE) of a relaxed LiRh3W crystal.

Lattice parameters (Å, degrees): 6.816 6.816 4.888 90.37 90.37 132.04
Element x y z (fractional)
Li (0.069, 0.931, 0.750)
Li (0.931, 0.069, 0.250)
Rh (0.099, 0.434, 0.747)
Rh (0.434, 0.099, 0.247)
Rh (0.500, 0.500, 0.000)
Rh (0.500, 0.500, 0.500)
Rh (0.566, 0.901, 0.753)
Rh (0.901, 0.566, 0.253)
W (0.318, 0.682, 0.250)
W (0.682, 0.318, 0.750)

Output
Crystal system: monoclinic
E_form (eV/atom): 0.13
DOS(E_F) (states/eV/f.u.): 4.1
Total moment (μB per formula unit): 0.000
Density (g/cm³): 9.837

=====

The following is a DFT calculation (PBE) of a relaxed K2NaLiAs crystal.

Lattice parameters (Å, degrees): 6.502 6.502 4.832 90.00 90.00 90.00
Element x y z (fractional)
K (0.000, 0.500, 0.000)
K (0.500, 0.000, 0.000)
Na (0.000, 0.000, 0.500)
Li (0.500, 0.500, 0.500)
As (0.500, 0.500, 0.000)

Output
Crystal system: tetragonal
E_form (eV/atom): -0.18
DOS(E_F) (states/eV/f.u.): 3.2
Total moment (μB per formula unit): 0.000
Density (g/cm³): 1.488

=====

The following is a DFT calculation (PBE) of a relaxed LaAgPt2 crystal.

Lattice parameters (Å, degrees): 3.956 4.239 5.563 90.00 110.74 90.00
Element x y z (fractional)
La (0.000, 0.000, 0.000)
Ag (0.290, 0.500, 0.581)
Pt (0.567, 0.500, 0.133)
Pt (0.729, 0.000, 0.460)

Output
Crystal system: monoclinic
E_form (eV/atom): -0.64
DOS(E_F) (states/eV/f.u.): 1.3
Total moment (μB per formula unit): 0.000
Density (g/cm³): 12.124

=====

The following is a DFT calculation (PBE) of a relaxed KHoPaS4 crystal.

Lattice parameters (Å, degrees): 8.375 8.375 8.375 120.46 119.36 90.15
Element x y z (fractional)
K (0.380, 0.130, 0.250)
K (0.620, 0.870, 0.750)
Ho (0.000, 0.000, 0.500)
Ho (0.000, 0.500, 0.000)
Pa (0.000, 0.500, 0.500)
Pa (0.500, 0.500, 0.000)
S (0.191, 0.729, 0.462)
S (0.233, 0.271, 0.538)
S (0.233, 0.271, 0.962)
S (0.233, 0.694, 0.962)
S (0.767, 0.306, 0.038)
S (0.767, 0.729, 0.038)
S (0.767, 0.729, 0.462)
S (0.809, 0.271, 0.538)

Output
Raw formation energy (eV per atom): -1.71
Crystal system: orthorhombic
DOS(E_F) (states/eV/f.u.): 5.6
Total moment (μB per formula unit): 1.019
Density (g/cm³): 4.498

=====

Q: What is the formula in the seventh record?
A: Pm15Ho4Th